Entry 1:
# Pr5Zn2Ga

Pr5Zn2Ga after structural relaxation (GGA-PBE, Alexandria).

Geometry as CIF:
```
data_Pr5Zn2Ga
_chemical_formula_sum 'Pr20 Zn8 Ga4'
_cell_length_a 7.6709
_cell_length_b 7.6709
_cell_length_c 15.6357
_cell_angle_alpha 90.00
_cell_angle_beta 90.00
_cell_angle_gamma 90.00
_space_group_name_H-M_alt 'I 4/m c m'
_space_group_IT_number 140
_space_group_name_Hall '-I 4 2c'
loop_
_atom_site_label
_atom_site_type_symbol
_atom_site_fract_x
_atom_site_fract_y
_atom_site_fract_z
Pr1 Pr 0.0000 0.0000 0.0000
Pr2 Pr 0.1688 0.3312 0.1525
Zn1 Zn 0.1182 0.3818 0.5000
Ga1 Ga 0.0000 0.0000 0.2500
```



Entry 2:
# Pr2ZnGa2

Pr2ZnGa2 after structural relaxation (GGA-PBE, Alexandria).

Geometry as CIF:
```
data_Pr2ZnGa2
_chemical_formula_sum 'Pr8 Zn4 Ga8'
_cell_length_a 10.9263
_cell_length_b 4.5751
_cell_length_c 10.9121
_cell_angle_alpha 90.00
_cell_angle_beta 118.37
_cell_angle_gamma 90.00
_space_group_name_H-M_alt 'C 1 2/m 1'
_space_group_IT_number 12
loop_
_space_group_symop_operation_xyz
'x,y,z'
'-x,-y,-z'
'-x,y,-z'
'x,-y,z'
'x+1/2,y+1/2,z'
'-x+1/2,-y+1/2,-z'
'-x+1/2,y+1/2,-z'
'x+1/2,-y+1/2,z'
loop_
_atom_site_label
_atom_site_type_symbol
_atom_site_fract_x
_atom_site_fract_y
_atom_site_fract_z
Pr1 Pr 0.0212 0.0000 0.3340
Pr2 Pr 0.1837 0.0000 0.0938
Zn1 Zn 0.2289 0.5000 0.3476
Ga1 Ga 0.0111 0.5000 0.8802
Ga2 Ga 0.1395 0.5000 0.5639
```



| no. | formation enthalpy at 0 K (eV/atom) | N(E_F) (states/eV per atom) | calculated total energy (eV/cell) |
| --- | --- | --- | --- |
| 1 | -0.264 | 1.1046 | -126.34 |
| 2 | -0.549 | 0.7473 | -78.53 |